A plane-wave DFT calculation with PBE was carried out for KTl2Rh3F12 after structural relaxation.

Lattice parameters (Å, degrees): 7.6204 7.6204 7.6204 58.92 58.92 58.92
Positions (direct):
K1 0.0000 0.0000 0.0000
Tl1 0.6336 0.6336 0.6336
Tl2 0.3664 0.3664 0.3664
Rh1 0.5000 0.0000 0.0000
Rh2 0.0000 0.5000 0.0000
Rh3 0.0000 0.0000 0.5000
F1 0.2786 0.2786 0.8786
F2 0.8709 0.8709 0.4430
F3 0.4430 0.8709 0.8709
F4 0.8786 0.2786 0.2786
F5 0.8709 0.4430 0.8709
F6 0.2786 0.8786 0.2786
F7 0.7214 0.7214 0.1214
F8 0.1291 0.1291 0.5570
F9 0.5570 0.1291 0.1291
F10 0.1214 0.7214 0.7214
F11 0.1291 0.5570 0.1291
F12 0.7214 0.1214 0.7214

Properties
formation energy from raw total energies	-1.784	eV/atom
SG	R-3m (166)
final energy	-4.58	eV/atom

***

A plane-wave DFT calculation with PBE was carried out for KZnRhF6 after structural relaxation.

Lattice parameters (Å, degrees): 7.3151 7.3639 7.4531 119.60 119.39 90.00
Positions (direct):
K1 0.9143 0.6643 0.8286
K2 0.0857 0.3357 0.1714
Zn1 0.5000 0.0000 0.5000
Zn2 0.0000 0.0000 0.5000
Rh1 0.5000 0.5000 0.0000
Rh2 0.5000 0.0000 0.0000
F1 0.4242 0.6742 0.8485
F2 0.8211 0.0711 0.6422
F3 0.8265 0.0766 0.2405
F4 0.4140 0.6640 0.2405
F5 0.4140 0.0766 0.2405
F6 0.8265 0.6640 0.2405
F7 0.5758 0.3258 0.1515
F8 0.1789 0.9289 0.3578
F9 0.1735 0.9234 0.7595
F10 0.5860 0.3360 0.7595
F11 0.5860 0.9234 0.7595
F12 0.1735 0.3360 0.7595

Properties
formation energy from raw total energies	-2.108	eV/atom
SG	Imma (74)
final energy	-4.44	eV/atom

***

A plane-wave DFT calculation with PBE was carried out for K2Zn3RhF12 after structural relaxation.

Lattice parameters (Å, degrees): 7.6399 7.6399 7.6399 57.05 57.05 57.05
Site moments in Bohr magnetons follow the coordinates.
Positions (direct):
K1 0.5974 0.5974 0.5974  0.00
K2 0.4026 0.4026 0.4026  0.00
Zn1 0.5000 0.0000 0.0000  0.01
Zn2 0.0000 0.5000 0.0000  0.01
Zn3 0.0000 0.0000 0.5000  0.01
Rh1 0.0000 0.0000 0.0000  0.63
F1 0.3272 0.3272 0.9202  0.01
F2 0.9263 0.9263 0.3151  0.04
F3 0.3151 0.9263 0.9263  0.04
F4 0.9202 0.3272 0.3272  0.01
F5 0.9263 0.3151 0.9263  0.04
F6 0.3272 0.9202 0.3272  0.01
F7 0.6728 0.6728 0.0798  0.01
F8 0.0737 0.0737 0.6849  0.04
F9 0.6849 0.0737 0.0737  0.04
F10 0.0798 0.6728 0.6728  0.01
F11 0.0737 0.6849 0.0737  0.04
F12 0.6728 0.0798 0.6728  0.01

Properties
formation energy from raw total energies	-2.215	eV/atom
SG	R-3m (166)
final energy	-4.20	eV/atom

***

Ordered total magnetic moment results: 0.000; 0.000; 0.054; unit μB/atom.